No. 1
# YMg2TcSn

Crystalline YMg2TcSn at its relaxed geometry (PBE, Alexandria).

## Properties
ΔH_f (0 K) ... 0.399 eV/atom
Magnetization ... 0.0000 μB/atom

abc: 5.109 5.109 5.111
angles: 90.00 90.00 90.00
Space group P4/mmm (No. 123)
Inequivalent atoms, fractional coordinates:
Y  0.000  0.000  0.000
Mg  0.000  0.500  0.500
Tc  0.000  0.000  0.500
Sn  0.500  0.500  0.000

=====

No. 2
# Cu2AgBiPbS4

Crystalline Cu2AgBiPbS4 at its relaxed geometry (PBE, Alexandria).

## Properties
E_tot ... -4.187 eV per atom
Magnetization ... 0.0000 μB/atom

abc: 13.079 4.112 15.218
angles: 90.00 90.00 90.00
Space group Pnma (No. 62)
Inequivalent atoms, fractional coordinates:
Cu  0.032  0.250  0.135
Cu  0.094  0.250  0.849
Ag  0.145  0.750  0.070
Bi  0.088  0.750  0.592
Pb  0.180  0.750  0.315
S  0.041  0.250  0.706
S  0.110  0.250  0.452
S  0.127  0.750  0.908
S  0.191  0.250  0.175

=====

No. 3
# RbMnPCl2

Crystalline RbMnPCl2 at its relaxed geometry (PBE, Alexandria).

## Properties
E_tot ... -3.228 eV per atom
Magnetization ... 1.8191 μB/atom

abc: 6.189 6.189 6.178
angles: 90.00 90.00 90.00
Space group P4/mmm (No. 123)
Inequivalent atoms, fractional coordinates:
Rb  0.000  0.000  0.000
Mn  0.500  0.500  0.500
P  0.000  0.000  0.500
Cl  0.000  0.500  0.000